1.
VASP calculation (meta-GGA SCAN) on a crystal of MgOs2Rh relaxed with PBEsol.

Volume, Å³ per atom: 14.39
Uncorrected energy, eV/f.u.: -182.3
Calculated formation energy, eV/atom: 0.040

```
MgOs2Rh
1.0
-0.824 -1.512 -2.112
4.543 -1.054 0.741
-2.074 -3.053 2.994
Os Rh Mg
2 1 1
Cartesian
1.643 -5.455 1.506 Os
0.387 -3.299 2.211 Os
-1.298 -2.212 0.332 Rh
1.110 -2.555 -0.362 Mg
```


2.
VASP calculation (meta-GGA SCAN) on a crystal of MgOs2Rh relaxed with PBEsol.

Volume, Å³ per atom: 14.34
Uncorrected energy, eV/f.u.: -181.9
Calculated formation energy, eV/atom: 0.154

```
MgOs2Rh
1.0
-2.135 -1.818 0.456
2.607 -2.406 2.611
-1.337 2.478 3.618
Rh Mg Os
1 1 2
Cartesian
-1.736 0.330 2.037 Rh
0.635 0.036 3.115 Mg
0.000 0.000 0.000 Os
0.236 -2.112 1.534 Os
```


3.
VASP calculation (meta-GGA SCAN) on a crystal of Mg3OsRh relaxed with PBEsol.

Volume, Å³ per atom: 22.09
Uncorrected energy, eV/f.u.: -115.6
Calculated formation energy, eV/atom: 0.989

```
Mg3OsRh
1.0
4.798 0.000 0.000
0.000 4.798 0.000
0.000 0.000 4.798
Mg Os Rh
3 1 1
Cartesian
0.000 2.399 0.000 Mg
2.399 0.000 0.000 Mg
0.000 0.000 2.399 Mg
0.000 0.000 0.000 Os
2.399 2.399 2.399 Rh
```


4.
VASP calculation (meta-GGA SCAN) on a crystal of MgTl2OsRh relaxed with PBEsol.

Volume, Å³ per atom: 24.76
Uncorrected energy, eV/f.u.: -250.4
Calculated formation energy, eV/atom: 0.994

```
MgTl2OsRh
1.0
4.701 0.000 0.000
0.000 5.131 0.000
0.000 0.000 5.131
Mg Os Tl Rh
1 1 2 1
Cartesian
2.351 2.566 2.566 Mg
2.351 0.000 0.000 Os
0.000 2.566 0.000 Tl
0.000 0.000 2.566 Tl
0.000 0.000 0.000 Rh
```


5.
VASP calculation (meta-GGA SCAN) on a crystal of MgOsRu2 relaxed with PBEsol.

Volume, Å³ per atom: 14.03
Uncorrected energy, eV/f.u.: -145.7
Calculated formation energy, eV/atom: 0.196

```
MgOsRu2
1.0
2.919 0.000 0.000
0.000 4.398 0.000
-1.459 -2.199 4.370
Mg Ru Os
1 2 1
Cartesian
0.000 0.000 4.359 Mg
1.459 0.000 2.186 Ru
1.459 2.199 4.357 Ru
0.000 2.199 2.208 Os
```


6.
VASP calculation (meta-GGA SCAN) on a crystal of MgOsRu2 relaxed with PBEsol.

Volume, Å³ per atom: 14.44
Uncorrected energy, eV/f.u.: -146.1
Calculated formation energy, eV/atom: 0.107

```
MgOsRu2
1.0
2.765 0.000 0.000
0.000 2.765 0.000
0.000 0.000 7.554
Os Ru Mg
1 2 1
Cartesian
1.383 1.383 3.777 Os
0.000 0.000 2.017 Ru
0.000 0.000 5.536 Ru
1.383 1.383 0.000 Mg
```


7.
VASP calculation (meta-GGA SCAN) on a crystal of MgOsRu2 relaxed with PBEsol.

Volume, Å³ per atom: 14.28
Uncorrected energy, eV/f.u.: -145.8
Calculated formation energy, eV/atom: 0.173

```
MgOsRu2
1.0
-1.170 -1.891 -1.595
3.219 -0.432 -1.849
1.534 -3.986 3.601
Ru Os Mg
2 1 1
Cartesian
1.127 -2.928 2.645 Ru
0.407 -1.058 0.956 Ru
1.791 -3.155 0.079 Os
1.024 -1.162 -1.722 Mg
```


8.
VASP calculation (meta-GGA SCAN) on a crystal of MgSb2Os relaxed with PBEsol.

Volume, Å³ per atom: 21.24
Uncorrected energy, eV/f.u.: -149.7
Raw formation energy, eV/atom: 0.414

```
MgSb2Os
1.0
-1.291 2.660 -0.672
-1.894 -2.368 0.003
-1.931 1.556 9.875
Mg Sb Os
1 2 1
Cartesian
-0.900 0.725 4.599 Mg
-2.986 1.269 6.790 Sb
-0.103 0.083 0.528 Sb
-2.093 0.549 2.225 Os
```


9.
VASP calculation (meta-GGA SCAN) on a crystal of MgSb2Os relaxed with PBEsol.

Volume, Å³ per atom: 22.49
Uncorrected energy, eV/f.u.: -151.3
Raw formation energy, eV/atom: 0.029

```
MgSb2Os
1.0
3.144 0.000 0.000
0.000 4.570 0.000
-1.572 -2.285 6.262
Sb Mg Os
2 1 1
Cartesian
0.000 0.000 4.110 Sb
1.572 2.285 2.152 Sb
1.572 0.000 0.000 Mg
0.000 2.285 0.000 Os
```


10.
VASP calculation (meta-GGA SCAN) on a crystal of MgSb2Os relaxed with PBEsol.

Volume, Å³ per atom: 20.77
Uncorrected energy, eV/f.u.: -151.2
Raw formation energy, eV/atom: 0.040

```
MgSb2Os
1.0
-0.167 -3.154 0.423
0.461 -0.443 -3.122
8.084 -0.263 1.231
Sb Os Mg
2 1 1
Cartesian
7.487 -0.243 1.141 Sb
2.445 -1.873 -0.999 Sb
6.154 -1.994 -0.434 Os
4.419 -0.144 0.673 Mg
```


11.
VASP calculation (meta-GGA SCAN) on a crystal of MgSbOs3 relaxed with PBEsol.

Volume, Å³ per atom: 21.84
Uncorrected energy, eV/f.u.: -247.1
Raw formation energy, eV/atom: 2.160

```
MgSbOs3
1.0
-2.554 -0.678 3.983
-3.222 -2.501 -2.492
2.437 -4.017 0.879
Os Mg Sb
3 1 1
Cartesian
-1.611 -1.250 -1.246 Os
-1.277 -0.339 1.992 Os
1.219 -2.008 0.440 Os
-1.669 -3.598 1.185 Mg
0.000 0.000 0.000 Sb
```


12.
VASP calculation (meta-GGA SCAN) on a crystal of Mg2ScOs relaxed with PBEsol.

Volume, Å³ per atom: 17.20
Uncorrected energy, eV/f.u.: -95.9
Calculated formation energy, eV/atom: 0.045

```
Mg2ScOs
1.0
-0.945 -4.369 1.083
0.665 -3.333 -3.098
3.422 -3.020 0.570
Sc Mg Os
1 2 1
Cartesian
1.571 -5.361 -0.723 Sc
0.785 -2.680 -0.361 Mg
2.356 -8.041 -1.084 Mg
0.000 0.000 0.000 Os
```


13.
VASP calculation (meta-GGA SCAN) on a crystal of MgScOs relaxed with PBEsol.

Volume, Å³ per atom: 20.27
Uncorrected energy, eV/f.u.: -89.0
Calculated formation energy, eV/atom: 0.707

```
MgScOs
1.0
4.414 0.000 0.000
2.207 3.823 0.000
2.207 1.274 3.604
Sc Mg Os
1 1 1
Cartesian
2.207 1.274 0.901 Sc
0.000 0.000 0.000 Mg
4.414 2.549 1.802 Os
```


14.
VASP calculation (meta-GGA SCAN) on a crystal of Mg2OsSe relaxed with PBEsol.

Volume, Å³ per atom: 16.50
Uncorrected energy, eV/f.u.: -101.8
Raw formation energy, eV/atom: 0.023

```
Mg2OsSe
1.0
2.829 0.000 0.000
0.000 4.934 0.038
0.000 -1.444 4.718
Os Se Mg
1 1 2
Cartesian
1.414 1.745 2.378 Os
1.414 0.000 0.000 Se
0.000 2.467 0.019 Mg
0.000 -0.722 2.359 Mg
```


15.
VASP calculation (meta-GGA SCAN) on a crystal of Mg2OsSe relaxed with PBEsol.

Volume, Å³ per atom: 16.36
Uncorrected energy, eV/f.u.: -102.4
Raw formation energy, eV/atom: -0.130

```
Mg2OsSe
1.0
3.359 0.000 0.000
0.000 3.359 0.000
0.000 0.000 5.800
Mg Os Se
2 1 1
Cartesian
0.000 0.000 1.364 Mg
0.000 0.000 4.436 Mg
1.679 1.679 0.000 Os
1.679 1.679 2.900 Se
```


16.
VASP calculation (meta-GGA SCAN) on a crystal of Mg2OsSe relaxed with PBEsol.

Volume, Å³ per atom: 18.34
Uncorrected energy, eV/f.u.: -101.5
Raw formation energy, eV/atom: 0.108

```
Mg2OsSe
1.0
3.034 0.000 0.000
0.000 3.034 0.000
0.000 0.000 7.970
Se Mg Os
1 2 1
Cartesian
1.517 1.517 5.531 Se
0.000 0.000 7.900 Mg
1.517 1.517 2.304 Mg
0.000 0.000 4.191 Os
```


17.
VASP calculation (meta-GGA SCAN) on a crystal of MgOsSe relaxed with PBEsol.

Volume, Å³ per atom: 16.41
Uncorrected energy, eV/f.u.: -96.5
Raw formation energy, eV/atom: 0.152

```
MgOsSe
1.0
-0.301 3.140 -0.171
-0.737 0.157 4.174
3.969 0.301 -1.465
Se Mg Os
1 1 1
Cartesian
0.832 0.205 2.294 Se
-0.150 1.570 -0.086 Mg
2.400 0.253 0.414 Os
```


18.
VASP calculation (meta-GGA SCAN) on a crystal of Mg2OsSe relaxed with PBEsol.

Volume, Å³ per atom: 17.26
Uncorrected energy, eV/f.u.: -102.3
Raw formation energy, eV/atom: -0.087

```
Mg2OsSe
1.0
-1.292 -1.549 2.616
3.778 -0.573 1.526
0.323 5.204 1.155
Se Mg Os
1 2 1
Cartesian
1.124 0.571 2.979 Se
-0.057 0.786 0.437 Mg
1.623 3.363 2.793 Mg
-0.850 2.029 2.867 Os
```


19.
VASP calculation (meta-GGA SCAN) on a crystal of MgOsSe3 relaxed with PBEsol.

Volume, Å³ per atom: 21.01
Uncorrected energy, eV/f.u.: -130.9
Raw formation energy, eV/atom: 1.238

```
MgOsSe3
1.0
-0.624 -4.052 -2.336
-2.294 -1.789 3.715
-4.076 1.627 -1.733
Se Mg Os
3 1 1
Cartesian
-0.312 -2.026 -1.168 Se
-1.147 -0.894 1.858 Se
-2.038 0.814 -0.866 Se
0.000 0.000 0.000 Mg
-3.497 -2.107 -0.177 Os
```


20.
VASP calculation (meta-GGA SCAN) on a crystal of Mg2SiOs relaxed with PBEsol.

Volume, Å³ per atom: 15.92
Uncorrected energy, eV/f.u.: -91.0
Raw formation energy, eV/atom: 0.222

```
Mg2SiOs
1.0
2.760 0.000 0.000
0.000 2.760 0.000
0.000 0.000 8.357
Si Os Mg
1 1 2
Cartesian
1.380 1.380 4.178 Si
1.380 1.380 0.000 Os
0.000 0.000 1.994 Mg
0.000 0.000 6.363 Mg
```


21.
VASP calculation (meta-GGA SCAN) on a crystal of Mg2Si2Os relaxed with PBEsol.

Volume, Å³ per atom: 15.89
Uncorrected energy, eV/f.u.: -103.0
Raw formation energy, eV/atom: -0.221

```
Mg2Si2Os
1.0
4.032 0.000 0.000
0.000 6.277 0.000
0.000 0.000 6.277
Mg Os Si
4 2 4
Cartesian
2.016 2.027 1.112 Mg
2.016 4.251 5.165 Mg
2.016 1.112 4.251 Mg
2.016 5.165 2.027 Mg
0.000 0.000 0.000 Os
0.000 3.139 3.139 Os
0.000 3.976 0.837 Si
0.000 2.302 5.441 Si
0.000 5.441 3.976 Si
0.000 0.837 2.302 Si
```


22.
VASP calculation (meta-GGA SCAN) on a crystal of SrMg2Os relaxed with PBEsol.

Volume, Å³ per atom: 22.75
Uncorrected energy, eV/f.u.: -102.8
Calculated formation energy, eV/atom: 0.331

```
SrMg2Os
1.0
-0.247 3.282 -0.727
-5.132 -0.223 0.736
3.360 -0.366 5.022
Sr Os Mg
1 1 2
Cartesian
-2.566 -0.112 0.368 Sr
-0.123 1.641 -0.363 Os
-2.288 2.227 3.019 Mg
0.268 0.466 2.013 Mg
```


23.
VASP calculation (meta-GGA SCAN) on a crystal of SrMg2Os relaxed with PBEsol.

Volume, Å³ per atom: 25.19
Uncorrected energy, eV/f.u.: -102.7
Calculated formation energy, eV/atom: 0.342

```
SrMg2Os
1.0
-0.344 2.652 1.487
-3.884 -1.506 1.787
5.771 -3.276 4.030
Mg Os Sr
2 1 1
Cartesian
1.466 -2.074 7.187 Mg
2.342 -0.533 4.640 Mg
3.619 -2.676 5.610 Os
-0.686 -1.681 2.840 Sr
```


24.
VASP calculation (meta-GGA SCAN) on a crystal of SrMg2Os relaxed with PBEsol.

Volume, Å³ per atom: 21.01
Uncorrected energy, eV/f.u.: -102.2
Calculated formation energy, eV/atom: 0.476

```
SrMg2Os
1.0
-1.251 2.739 -3.887
1.253 -1.444 -4.530
-3.455 -1.588 -3.117
Os Mg Sr
1 2 1
Cartesian
-1.726 -0.147 -5.767 Os
-2.589 -0.220 -8.651 Mg
0.000 0.000 0.000 Mg
-0.863 -0.073 -2.884 Sr
```


25.
VASP calculation (meta-GGA SCAN) on a crystal of SrMgOs relaxed with PBEsol.

Volume, Å³ per atom: 21.75
Uncorrected energy, eV/f.u.: -96.8
Calculated formation energy, eV/atom: 0.790

```
SrMgOs
1.0
-2.067 -1.307 2.018
2.977 -1.083 -0.144
2.043 4.913 5.276
Os Sr Mg
1 1 1
Cartesian
1.004 2.109 4.886 Os
2.062 0.686 2.557 Sr
1.930 4.641 4.983 Mg
```


26.
VASP calculation (meta-GGA SCAN) on a crystal of Sr3MgOs relaxed with PBEsol.

Volume, Å³ per atom: 41.36
Uncorrected energy, eV/f.u.: -136.3
Calculated formation energy, eV/atom: 1.475

```
Sr3MgOs
1.0
-0.139 5.522 -2.110
-2.493 1.859 5.030
5.361 1.008 2.284
Sr Os Mg
3 1 1
Cartesian
-0.070 2.761 -1.055 Sr
-1.246 0.930 2.515 Sr
2.680 0.504 1.142 Sr
1.364 4.195 2.602 Os
0.000 0.000 0.000 Mg
```


27.
VASP calculation (meta-GGA SCAN) on a crystal of SrMg2TeOs relaxed with PBEsol.

Volume, Å³ per atom: 26.05
Uncorrected energy, eV/f.u.: -141.6
Raw formation energy, eV/atom: -0.052

```
SrMg2TeOs
1.0
5.025 0.000 0.000
0.000 5.025 0.000
0.000 0.000 5.158
Mg Sr Te Os
2 1 1 1
Cartesian
0.000 2.512 0.000 Mg
2.512 0.000 0.000 Mg
2.512 2.512 2.579 Sr
0.000 0.000 2.579 Te
0.000 0.000 0.000 Os
```


28.
VASP calculation (meta-GGA SCAN) on a crystal of Mg2TaOs relaxed with PBEsol.

Volume, Å³ per atom: 16.58
Uncorrected energy, eV/f.u.: -147.9
E above lowest polymorph, eV/atom: 0.2373
Calculated formation energy, eV/atom: 0.137

```
Mg2TaOs
1.0
2.745 0.000 0.006
0.000 4.653 0.000
-1.261 0.000 5.189
Os Ta Mg
1 1 2
Cartesian
1.372 2.327 0.003 Os
-0.631 2.327 2.594 Ta
0.951 0.000 3.951 Mg
0.532 0.000 1.244 Mg
```


29.
VASP calculation (meta-GGA SCAN) on a crystal of Mg2TaOs relaxed with PBEsol.

Volume, Å³ per atom: 17.89
Uncorrected energy, eV/f.u.: -148.8
E above lowest polymorph, eV/atom: 0.0000
Calculated formation energy, eV/atom: -0.101

```
Mg2TaOs
1.0
-1.815 -2.484 0.911
0.717 -1.525 -2.731
5.519 -2.905 3.071
Mg Os Ta
2 1 1
Cartesian
0.975 -2.807 -0.061 Mg
5.461 -2.875 3.039 Mg
2.893 -1.523 1.610 Os
3.369 -4.067 1.271 Ta
```


30.
VASP calculation (meta-GGA SCAN) on a crystal of Mg2TaOs relaxed with PBEsol.

Volume, Å³ per atom: 16.63
Uncorrected energy, eV/f.u.: -147.7
E above lowest polymorph, eV/atom: 0.2686
Calculated formation energy, eV/atom: 0.168

```
Mg2TaOs
1.0
2.707 0.000 0.000
-1.169 5.187 0.000
-0.769 -2.593 4.736
Os Mg Ta
1 2 1
Cartesian
-0.584 2.593 0.000 Os
-0.385 -1.297 2.368 Mg
0.385 1.297 2.368 Mg
1.354 0.000 0.000 Ta
```